# 1
DFT (PBE-GGA) results for crystalline Cs2Na2Ga at its relaxed geometry.

Computed properties:
SG   P4/mbm (127)
Offset from the most stable computed form   0 meV/atom
Energy of formation from the pure elements   0.15 eV per atom

a = 8.5804 Å, b = 8.5804 Å, c = 6.7766 Å
α = 90.00°, β = 90.00°, γ = 90.00°
Closest atoms and distances in Å follow each position.
Atoms (fractional coordinates):
1 Cs 0.1856 0.3144 0.0000  2 Na 3.88
2 Cs 0.3144 0.8144 0.0000  2 Na 3.88
3 Cs 0.6856 0.1856 0.0000  2 Na 3.88
4 Cs 0.8144 0.6856 0.0000  2 Na 3.88
5 Na 0.1579 0.6579 0.5000  2 Ga 3.23
6 Na 0.3421 0.1579 0.5000  2 Ga 3.23
7 Na 0.6579 0.8421 0.5000  2 Ga 3.23
8 Na 0.8421 0.3421 0.5000  2 Ga 3.23
9 Ga 0.0000 0.0000 0.5000  4 Na 3.23
10 Ga 0.5000 0.5000 0.5000  4 Na 3.23

***

# 2
DFT (PBE-GGA) results for crystalline CrInSnSe2 at its relaxed geometry.

Computed properties:
SG   P4/mmm (123)
ΔE_f (raw)   0.1515 eV/atom

a = 4.8962 Å, b = 4.8962 Å, c = 5.2516 Å
α = 90.00°, β = 90.00°, γ = 90.00°
Closest atoms and distances in Å follow each position.
Atoms (fractional coordinates):
1 Cr 0.0000 0.0000 0.0000  4 Se 2.45, 2 In 2.63
2 In 0.0000 0.0000 0.5000  2 Cr 2.63
3 Sn 0.5000 0.5000 0.5000  4 In 3.46, 8 Se 3.59
4 Se 0.0000 0.5000 0.0000  2 Cr 2.45
5 Se 0.5000 0.0000 0.0000  2 Cr 2.45

***

# 3
DFT (PBE-GGA) results for crystalline Be2AgW at its relaxed geometry.

Computed properties:
SG   Immm (71)
Offset from the most stable computed form   464 meV/atom
Energy of formation from the pure elements   0.64 eV per atom

a = 2.7300 Å, b = 4.8035 Å, c = 8.2719 Å
α = 90.00°, β = 90.00°, γ = 90.00°
Closest atoms and distances in Å follow each position.
Atoms (fractional coordinates):
1 Be 0.0000 0.0000 0.2437  2 Ag 2.43, 2 W 2.52
2 Be 0.0000 0.0000 0.7563  2 Ag 2.43, 2 W 2.52
3 Be 0.5000 0.5000 0.2563  2 Ag 2.43, 2 W 2.52
4 Be 0.5000 0.5000 0.7437  2 Ag 2.43, 2 W 2.52
5 Ag 0.0000 0.5000 0.5000  4 Be 2.43
6 Ag 0.5000 0.0000 0.0000  4 Be 2.43
7 W 0.0000 0.5000 0.0000  4 Be 2.52, 2 W 2.73, 4 Ag 2.76
8 W 0.5000 0.0000 0.5000  4 Be 2.52, 2 W 2.73, 4 Ag 2.76

***

# 4
DFT (PBE-GGA) results for crystalline La4IrPb at its relaxed geometry.

Computed properties:
SG   C2/c (15)
Offset from the most stable computed form   24 meV/atom
Energy of formation from the pure elements   -0.51 eV per atom

a = 8.5547 Å, b = 8.5547 Å, c = 6.2349 Å
α = 102.08°, β = 102.08°, γ = 115.88°
Closest atoms and distances in Å follow each position.
Atoms (fractional coordinates):
1 La 0.0712 0.7023 0.9300  2 Ir 3.22-3.25, 2 Pb 3.37-3.39, 3 La 3.50-3.60
2 La 0.1990 0.3444 0.6474  2 Ir 2.92-2.98
3 La 0.2977 0.9288 0.5700  2 Ir 3.22-3.25, 2 Pb 3.37-3.39, 3 La 3.50-3.60
4 La 0.3444 0.1990 0.1474  2 Ir 2.92-2.98
5 La 0.6556 0.8010 0.8526  2 Ir 2.92-2.98
6 La 0.7023 0.0712 0.4300  2 Ir 3.22-3.25, 2 Pb 3.37-3.39, 3 La 3.50-3.60
7 La 0.8010 0.6556 0.3526  2 Ir 2.92-2.98
8 La 0.9288 0.2977 0.0700  2 Ir 3.22-3.25, 2 Pb 3.37-3.39, 3 La 3.50-3.60
9 Ir 0.9998 0.0002 0.2500  8 La 2.92-3.25, 2 Ir 3.12
10 Ir 0.0002 0.9998 0.7500  8 La 2.92-3.25, 2 Ir 3.12
11 Pb 0.3806 0.6194 0.2500  8 La 3.37-3.57
12 Pb 0.6194 0.3806 0.7500  8 La 3.37-3.57

***

# 5
DFT (PBE-GGA) results for crystalline TmPaBi at its relaxed geometry.

Computed properties:
SG   P3m1 (156)
Offset from the most stable computed form   446 meV/atom
Energy of formation from the pure elements   0.10 eV per atom

a = 5.4045 Å, b = 5.4045 Å, c = 3.4051 Å
α = 90.00°, β = 90.00°, γ = 120.00°
Closest atoms and distances in Å follow each position.
Atoms (fractional coordinates):
1 Tm 0.0000 0.0000 0.0000  3 Bi 3.19, 2 Tm 3.41, 3 Pa 3.52
2 Pa 0.3333 0.6667 0.4781  3 Bi 3.31, 2 Pa 3.41, 6 Tm 3.52-3.59
3 Bi 0.6667 0.3333 0.8062  3 Tm 3.19, 3 Pa 3.31, 2 Bi 3.41

***

# 6
DFT (PBE-GGA) results for crystalline CaGe2TeO8 at its relaxed geometry.

Computed properties:
SG   I-4m2 (119)
ΔE_f (raw)   -1.4112 eV/atom

a = 5.8056 Å, b = 5.8056 Å, c = 5.8056 Å
α = 106.68°, β = 106.68°, γ = 115.20°
Closest atoms and distances in Å follow each position.
Atoms (fractional coordinates):
1 Ca 0.0000 0.0000 0.0000  8 O 2.27-2.41
2 Ge 0.2500 0.7500 0.5000  4 O 1.78
3 Ge 0.5000 0.5000 0.0000  4 O 1.78
4 Te 0.7500 0.2500 0.5000  8 O 2.13-2.18
5 O 0.0419 0.3667 0.3249  1 Ge 1.78
6 O 0.0419 0.7170 0.6751  1 Ge 1.78
7 O 0.1193 0.3174 0.8018  1 Ge 1.78
8 O 0.2830 0.9581 0.3249  1 Ge 1.78
9 O 0.5156 0.3174 0.1982  1 Ge 1.78
10 O 0.6333 0.9581 0.6751  1 Ge 1.78
11 O 0.6826 0.4844 0.8018  1 Ge 1.78
12 O 0.6826 0.8807 0.1982  1 Ge 1.78

***

# 7
DFT (PBE-GGA) results for crystalline NaPtIO2 at its relaxed geometry.

Computed properties:
SG   P4/mmm (123)
ΔE_f (raw)   0.6889 eV/atom
Offset from the most stable computed form   1008 meV/atom

a = 4.1460 Å, b = 4.1460 Å, c = 6.1473 Å
α = 90.00°, β = 90.00°, γ = 90.00°
Closest atoms and distances in Å follow each position.
Atoms (fractional coordinates):
1 Na 0.0000 0.0000 0.0000  4 O 2.07
2 Pt 0.5000 0.5000 0.5000  4 I 2.93
3 I 0.0000 0.0000 0.5000  4 Pt 2.93, 2 Na 3.07
4 O 0.0000 0.5000 0.0000  2 Na 2.07
5 O 0.5000 0.0000 0.0000  2 Na 2.07

***

# 8
DFT (PBE-GGA) results for crystalline HfSc2Ni at its relaxed geometry.

Computed properties:
SG   P4/mmm (123)
Offset from the most stable computed form   39 meV/atom
Energy of formation from the pure elements   -0.20 eV per atom

a = 3.2008 Å, b = 3.2008 Å, c = 7.6106 Å
α = 90.00°, β = 90.00°, γ = 90.00°
Closest atoms and distances in Å follow each position.
Atoms (fractional coordinates):
1 Hf 0.0000 0.0000 0.0000  8 Sc 3.19, 4 Hf 3.20
2 Sc 0.5000 0.5000 0.2946  4 Ni 2.75
3 Sc 0.5000 0.5000 0.7054  4 Ni 2.75
4 Ni 0.0000 0.0000 0.5000  8 Sc 2.75

***

no.,final energy (eV per atom)
1,-1.328
2,-4.515
3,-5.176
4,-5.894
5,-5.845
6,-5.915
7,-3.076
8,-7.300